[1]
A relaxed NaErCd2Hg4 crystal. Source: Alexandria, functional GGA-PBE.

POSCAR file:
```
NaErCd2Hg4
1.0
2.533 1.463 8.374
-2.533 1.463 8.374
0.000 -2.925 8.374
Na Er Cd Hg
1 1 2 4
Direct
0.000 0.000 0.000 Na
0.500 0.500 0.500 Er
0.250 0.250 0.250 Cd
0.750 0.750 0.750 Cd
0.124 0.124 0.124 Hg
0.374 0.374 0.374 Hg
0.626 0.626 0.626 Hg
0.876 0.876 0.876 Hg
```

Results
**VASP energy**: -1.36 eV/atom
**Theoretical density**: 10.86 Mg/m³
**ΔH_f (0 K)**: -0.240 eV per atom

[2]
A relaxed NaErCdHg crystal. Source: Alexandria, functional GGA-PBE.

POSCAR file:
```
NaErCdHg
1.0
0.000 3.654 3.654
3.654 0.000 3.654
3.654 3.654 0.000
Na Er Cd Hg
1 1 1 1
Direct
0.000 0.000 0.000 Na
0.500 0.500 0.500 Er
0.750 0.750 0.750 Cd
0.250 0.250 0.250 Hg
```

Results
**VASP energy**: -1.99 eV/atom
**Theoretical density**: 8.56 Mg/m³
**ΔH_f (0 K)**: -0.217 eV per atom

- Look up the ΔH_f (0 K) of the second one.
  -0.217 eV per atom

- VASP energy of number 2 (NaErCdHg)?
  -1.99 eV/atom